# Tl3GaF6, relaxed, DFT PBEsol
# **E_form (uncorrected)**: -2.1044 eV per atom
# **Total DFT energy (no corrections)**: -4.38 eV/atom
data_Tl3GaF6
_space_group_name_H-M_alt 'P 1'
_space_group_IT_number 1
_cell_length_a 6.325
_cell_length_b 6.325
_cell_length_c 6.325
_cell_angle_alpha 60.00
_cell_angle_beta 60.00
_cell_angle_gamma 60.00
loop_
_space_group_symop_operation_xyz
'x,y,z'
loop_
_atom_site_label
_atom_site_type_symbol
_atom_site_fract_x
_atom_site_fract_y
_atom_site_fract_z
_atom_site_occupancy
Tl1 Tl 0.000 0.000 0.000 1
Tl2 Tl 0.250 0.250 0.250 1
Tl3 Tl 0.750 0.750 0.750 1
Ga1 Ga 0.500 0.500 0.500 1
F1 F 0.287 0.287 0.713 1
F2 F 0.287 0.713 0.287 1
F3 F 0.287 0.713 0.713 1
F4 F 0.713 0.287 0.287 1
F5 F 0.713 0.287 0.713 1
F6 F 0.713 0.713 0.287 1



# TlGaF2, relaxed, DFT PBEsol
# **E_form (uncorrected)**: -1.4386 eV per atom
# **Total DFT energy (no corrections)**: -3.89 eV/atom
data_TlGaF2
_space_group_name_H-M_alt 'P 1'
_space_group_IT_number 1
_cell_length_a 8.060
_cell_length_b 8.060
_cell_length_c 8.060
_cell_angle_alpha 22.99
_cell_angle_beta 22.99
_cell_angle_gamma 22.99
loop_
_space_group_symop_operation_xyz
'x,y,z'
loop_
_atom_site_label
_atom_site_type_symbol
_atom_site_fract_x
_atom_site_fract_y
_atom_site_fract_z
_atom_site_occupancy
Tl1 Tl 0.000 0.000 0.000 1
Ga1 Ga 0.500 0.500 0.500 1
F1 F 0.416 0.416 0.416 1
F2 F 0.584 0.584 0.584 1



# YGa2F, relaxed, DFT PBEsol
# **E_form (uncorrected)**: -0.5403 eV per atom
# **Total DFT energy (no corrections)**: -4.40 eV/atom
data_YGa2F
_space_group_name_H-M_alt 'P 1'
_space_group_IT_number 1
_cell_length_a 4.747
_cell_length_b 4.747
_cell_length_c 4.747
_cell_angle_alpha 60.00
_cell_angle_beta 60.00
_cell_angle_gamma 60.00
loop_
_space_group_symop_operation_xyz
'x,y,z'
loop_
_atom_site_label
_atom_site_type_symbol
_atom_site_fract_x
_atom_site_fract_y
_atom_site_fract_z
_atom_site_occupancy
Y1 Y 0.000 0.000 0.000 1
Ga1 Ga 0.250 0.250 0.250 1
Ga2 Ga 0.750 0.750 0.750 1
F1 F 0.500 0.500 0.500 1



# YGaF2, relaxed, DFT PBEsol
# **E_form (uncorrected)**: -1.9043 eV per atom
# **Total DFT energy (no corrections)**: -5.41 eV/atom
data_YGaF2
_space_group_name_H-M_alt 'P 1'
_space_group_IT_number 1
_cell_length_a 7.317
_cell_length_b 7.317
_cell_length_c 7.317
_cell_angle_alpha 29.88
_cell_angle_beta 29.88
_cell_angle_gamma 29.88
loop_
_space_group_symop_operation_xyz
'x,y,z'
loop_
_atom_site_label
_atom_site_type_symbol
_atom_site_fract_x
_atom_site_fract_y
_atom_site_fract_z
_atom_site_occupancy
Y1 Y 0.000 0.000 0.000 1
Ga1 Ga 0.500 0.500 0.500 1
F1 F 0.101 0.101 0.101 1
F2 F 0.899 0.899 0.899 1